Here is Sb2SICl after structural relaxation from Alexandria via LeMat-Bulk. Energies are from PBE-GGA.

a = 5.277 Å, b = 5.277 Å, c = 5.612 Å
α = 90.00°, β = 90.00°, γ = 90.00°
Fractional positions:
Sb (0.000, 0.500, 0.000)
Sb (0.500, 0.000, 0.000)
S (0.000, 0.000, 0.000)
I (0.000, 0.000, 0.500)
Cl (0.500, 0.500, 0.500)

Properties
The offset from the most stable computed form is 0 meV per atom. The calculation puts the formation energy from raw total energies at 0.47 eV per atom. Its space group is P4/mmm, No. 123.